(1)
! InCo2W | Alexandria | PBE | relaxed; values from VASP
&SYSTEM
  ibrav = 0, nat = 4, ntyp = 3
/
ATOMIC_SPECIES
Co 58.93 Co.upf
In 114.82 In.upf
W 183.84 W.upf
CELL_PARAMETERS angstrom
6.475 -0.005 -0.014
-2.634 3.678 0.012
1.206 0.857 2.364
ATOMIC_POSITIONS angstrom
Co 0.000 0.000 0.000
Co 3.840 0.426 1.175
In -0.714 2.268 1.188
W 1.920 1.836 -0.001
! SG: No. 65



(2)
! PmNd12Y2 | Alexandria | PBE | relaxed; values from VASP
&SYSTEM
  ibrav = 0, nat = 30, ntyp = 3
/
ATOMIC_SPECIES
Y 88.91 Y.upf
Nd 144.24 Nd.upf
Pm 145.00 Pm.upf
CELL_PARAMETERS angstrom
-0.898 -0.986 -6.740
-2.628 -4.789 4.168
-21.591 12.735 1.015
ATOMIC_POSITIONS angstrom
Y -16.182 8.786 -2.630
Y -17.136 6.937 2.828
Y -6.219 2.910 -3.099
Y -7.172 1.061 2.360
Nd -5.017 -2.158 1.579
Nd -17.292 10.199 0.813
Nd -20.966 7.217 2.318
Nd -4.300 2.536 0.202
Nd -20.867 10.330 0.326
Nd -6.063 -0.351 -1.084
Nd -14.783 2.712 -1.099
Nd -14.757 3.724 2.085
Nd -10.223 3.461 -3.542
Nd -20.087 9.141 -3.126
Nd -14.577 8.597 0.685
Nd -2.488 -0.483 -0.597
Nd -4.261 -3.391 -1.824
Nd -22.621 7.464 -1.019
Nd -19.055 7.311 -0.473
Nd -8.778 1.250 -0.956
Nd -14.030 5.400 -3.470
Nd -11.226 1.335 1.812
Nd -4.166 -0.280 -3.885
Nd -7.015 4.137 0.330
Nd -12.099 1.360 -1.744
Nd -12.936 5.782 -0.336
Nd -16.340 5.710 -0.601
Nd -10.418 4.065 0.065
Pm -1.341 -2.379 2.085
Pm -22.014 12.226 -2.356
! SG: No. 67



no.,theoretical density (Mg/m³),total magnetic moment (μB/cell),formation energy from the elements (eV/f.u.)
1,12.3,0.3,1.06
2,6.4,0.0,2.21